1.
NiAgW2: optimized geometry, PBE.

```
data_NiAgW2
_space_group_name_H-M_alt 'P 1'
_space_group_IT_number 1
_cell_length_a 4.7465
_cell_length_b 4.7465
_cell_length_c 5.0253
_cell_angle_alpha 97.95
_cell_angle_beta 97.95
_cell_angle_gamma 32.88
loop_
_space_group_symop_operation_xyz
'x,y,z'
loop_
_atom_site_label
_atom_site_type_symbol
_atom_site_fract_x
_atom_site_fract_y
_atom_site_fract_z
_atom_site_occupancy
Ni1 Ni 0.0000 0.0000 0.0000 1
Ag1 Ag 0.7513 0.7513 0.2390 1
W1 W 0.2675 0.2675 0.7605 1
W2 W 0.5072 0.5072 0.5054 1
```

Computed properties:
DFT total energy = -0.3006 hartree per atom
mass density = 14.59 g/cm³
excess energy over the best structure of this formula in the dataset = 19.2 kJ per mole of atoms
SG = Cm (8)
crystal system = monoclinic
magnetic moment = 0.00 Bohr magnetons per cell


2.
Pm4S4I3: optimized geometry, PBE.

```
data_Pm4S4I3
_space_group_name_H-M_alt 'P 1'
_space_group_IT_number 1
_cell_length_a 9.3568
_cell_length_b 9.3568
_cell_length_c 9.3568
_cell_angle_alpha 153.25
_cell_angle_beta 126.22
_cell_angle_gamma 61.06
loop_
_space_group_symop_operation_xyz
'x,y,z'
loop_
_atom_site_label
_atom_site_type_symbol
_atom_site_fract_x
_atom_site_fract_y
_atom_site_fract_z
_atom_site_occupancy
Pm1 Pm 0.2271 0.2271 0.0000 1
Pm2 Pm 0.2807 0.5000 0.7807 1
Pm3 Pm 0.7193 0.5000 0.2193 1
Pm4 Pm 0.7729 0.7729 0.0000 1
S1 S 0.0302 0.3309 0.6993 1
S2 S 0.3684 0.6691 0.6993 1
S3 S 0.6316 0.3309 0.3007 1
S4 S 0.9698 0.6691 0.3007 1
I1 I 0.0000 0.0000 0.0000 1
I2 I 0.3961 0.8961 0.5000 1
I3 I 0.6039 0.1039 0.5000 1
```

Computed properties:
formation energy (no corrections) = -1.60 eV per atom
DFT total energy = -0.1930 hartree per atom
mass density = 6.12 g/cm³
SG = Immm (71)
crystal system = orthorhombic
magnetic moment = 0.00 Bohr magnetons per cell


3.
Zn2CdGa: optimized geometry, PBE.

```
data_Zn2CdGa
_space_group_name_H-M_alt 'P 1'
_space_group_IT_number 1
_cell_length_a 3.2578
_cell_length_b 3.2578
_cell_length_c 6.9052
_cell_angle_alpha 90.00
_cell_angle_beta 90.00
_cell_angle_gamma 90.00
loop_
_space_group_symop_operation_xyz
'x,y,z'
loop_
_atom_site_label
_atom_site_type_symbol
_atom_site_fract_x
_atom_site_fract_y
_atom_site_fract_z
_atom_site_occupancy
Zn1 Zn 0.0000 0.0000 0.2282 1
Zn2 Zn 0.0000 0.0000 0.7718 1
Cd1 Cd 0.5000 0.5000 0.5000 1
Ga1 Ga 0.5000 0.5000 0.0000 1
```

Computed properties:
DFT total energy = -0.0558 hartree per atom
mass density = 7.09 g/cm³
excess energy over the best structure of this formula in the dataset = 3.0 kJ per mole of atoms
SG = P4/mmm (123)
crystal system = tetragonal
magnetic moment = 0.00 Bohr magnetons per cell


4.
DyY5Ir6: optimized geometry, PBE.

```
data_DyY5Ir6
_space_group_name_H-M_alt 'P 1'
_space_group_IT_number 1
_cell_length_a 7.5078
_cell_length_b 7.5078
_cell_length_c 7.1765
_cell_angle_alpha 90.00
_cell_angle_beta 90.00
_cell_angle_gamma 143.17
loop_
_space_group_symop_operation_xyz
'x,y,z'
loop_
_atom_site_label
_atom_site_type_symbol
_atom_site_fract_x
_atom_site_fract_y
_atom_site_fract_z
_atom_site_occupancy
Dy1 Dy 0.0000 0.0000 0.0000 1
Y1 Y 0.0000 0.0000 0.5000 1
Y2 Y 0.3333 0.6667 0.0000 1
Y3 Y 0.3333 0.6667 0.5000 1
Y4 Y 0.6667 0.3333 0.0000 1
Y5 Y 0.6667 0.3333 0.5000 1
Ir1 Ir 0.1663 0.8337 0.2495 1
Ir2 Ir 0.1663 0.8337 0.7505 1
Ir3 Ir 0.5000 0.5000 0.2490 1
Ir4 Ir 0.5000 0.5000 0.7510 1
Ir5 Ir 0.8337 0.1663 0.2495 1
Ir6 Ir 0.8337 0.1663 0.7505 1
```

Computed properties:
DFT total energy = -0.3049 hartree per atom
mass density = 12.06 g/cm³
SG = Cmmm (65)
crystal system = orthorhombic
magnetic moment = 0.00 Bohr magnetons per cell


5.
CeCo5H3: optimized geometry, PBE.

```
data_CeCo5H3
_space_group_name_H-M_alt 'P 1'
_space_group_IT_number 1
_cell_length_a 5.0132
_cell_length_b 5.0132
_cell_length_c 8.0637
_cell_angle_alpha 90.00
_cell_angle_beta 90.00
_cell_angle_gamma 119.18
loop_
_space_group_symop_operation_xyz
'x,y,z'
loop_
_atom_site_label
_atom_site_type_symbol
_atom_site_fract_x
_atom_site_fract_y
_atom_site_fract_z
_atom_site_occupancy
Ce1 Ce 0.0000 0.0000 0.0000 1
Ce2 Ce 0.0000 0.0000 0.5000 1
Co1 Co 0.0000 0.5000 0.2670 1
Co2 Co 0.0000 0.5000 0.7330 1
Co3 Co 0.2945 0.5929 0.0000 1
Co4 Co 0.4071 0.7055 0.5000 1
Co5 Co 0.5000 0.0000 0.2330 1
Co6 Co 0.5000 0.0000 0.7670 1
Co7 Co 0.5000 0.5000 0.2500 1
Co8 Co 0.5000 0.5000 0.7500 1
Co9 Co 0.5929 0.2945 0.5000 1
Co10 Co 0.7055 0.4071 0.0000 1
H1 H 0.0000 0.5000 0.5000 1
H2 H 0.1341 0.8659 0.2500 1
H3 H 0.1341 0.8659 0.7500 1
H4 H 0.5000 0.0000 0.0000 1
H5 H 0.8659 0.1341 0.2500 1
H6 H 0.8659 0.1341 0.7500 1
```

Computed properties:
DFT total energy = -0.2162 hartree per atom
mass density = 8.22 g/cm³
SG = Cccm (66)
crystal system = orthorhombic
magnetic moment = 9.95 Bohr magnetons per cell


6.
Sm3Si8Rh3: optimized geometry, PBE.

```
data_Sm3Si8Rh3
_space_group_name_H-M_alt 'P 1'
_space_group_IT_number 1
_cell_length_a 7.8641
_cell_length_b 7.8641
_cell_length_c 7.8641
_cell_angle_alpha 148.95
_cell_angle_beta 104.69
_cell_angle_gamma 83.66
loop_
_space_group_symop_operation_xyz
'x,y,z'
loop_
_atom_site_label
_atom_site_type_symbol
_atom_site_fract_x
_atom_site_fract_y
_atom_site_fract_z
_atom_site_occupancy
Sm1 Sm 0.0000 0.0000 0.0000 1
Sm2 Sm 0.3104 0.3104 0.0000 1
Sm3 Sm 0.6896 0.6896 0.0000 1
Si1 Si 0.0336 0.6661 0.3675 1
Si2 Si 0.1623 0.8745 0.2877 1
Si3 Si 0.2986 0.6661 0.6325 1
Si4 Si 0.4132 0.1255 0.2877 1
Si5 Si 0.5868 0.8745 0.7123 1
Si6 Si 0.7014 0.3339 0.3675 1
Si7 Si 0.8377 0.1255 0.7123 1
Si8 Si 0.9664 0.3339 0.6325 1
Rh1 Rh 0.2764 0.5000 0.7764 1
Rh2 Rh 0.5000 0.0000 0.5000 1
Rh3 Rh 0.7236 0.5000 0.2236 1
```

Computed properties:
formation energy (no corrections) = -0.64 eV per atom
DFT total energy = -0.2324 hartree per atom
mass density = 6.90 g/cm³
excess energy over the best structure of this formula in the dataset = 5.6 kJ per mole of atoms
SG = Immm (71)
crystal system = orthorhombic
magnetic moment = 0.00 Bohr magnetons per cell


7.
CeHoGaAu: optimized geometry, PBE.

```
data_CeHoGaAu
_space_group_name_H-M_alt 'P 1'
_space_group_IT_number 1
_cell_length_a 5.1559
_cell_length_b 5.1559
_cell_length_c 5.1559
_cell_angle_alpha 60.00
_cell_angle_beta 60.00
_cell_angle_gamma 60.00
loop_
_space_group_symop_operation_xyz
'x,y,z'
loop_
_atom_site_label
_atom_site_type_symbol
_atom_site_fract_x
_atom_site_fract_y
_atom_site_fract_z
_atom_site_occupancy
Ce1 Ce 0.0000 0.0000 0.0000 1
Ho1 Ho 0.5000 0.5000 0.5000 1
Ga1 Ga 0.7500 0.7500 0.7500 1
Au1 Au 0.2500 0.2500 0.2500 1
```

Computed properties:
DFT total energy = -0.1757 hartree per atom
mass density = 9.80 g/cm³
SG = F-43m (216)
crystal system = cubic
magnetic moment = 0.99 Bohr magnetons per cell


8.
Ce2PrPa: optimized geometry, PBE.

```
data_Ce2PrPa
_space_group_name_H-M_alt 'P 1'
_space_group_IT_number 1
_cell_length_a 5.4274
_cell_length_b 5.4274
_cell_length_c 5.4274
_cell_angle_alpha 60.00
_cell_angle_beta 60.00
_cell_angle_gamma 60.00
loop_
_space_group_symop_operation_xyz
'x,y,z'
loop_
_atom_site_label
_atom_site_type_symbol
_atom_site_fract_x
_atom_site_fract_y
_atom_site_fract_z
_atom_site_occupancy
Ce1 Ce 0.2500 0.2500 0.2500 1
Ce2 Ce 0.7500 0.7500 0.7500 1
Pr1 Pr 0.0000 0.0000 0.0000 1
Pa1 Pa 0.5000 0.5000 0.5000 1
```

Computed properties:
DFT total energy = -0.2264 hartree per atom
mass density = 9.58 g/cm³
excess energy over the best structure of this formula in the dataset = 27.4 kJ per mole of atoms
SG = Fm-3m (225)
crystal system = cubic
magnetic moment = 0.89 Bohr magnetons per cell


9.
Nd3Dy2Mg: optimized geometry, PBE.

```
data_Nd3Dy2Mg
_space_group_name_H-M_alt 'P 1'
_space_group_IT_number 1
_cell_length_a 3.6436
_cell_length_b 3.6436
_cell_length_c 14.5191
_cell_angle_alpha 90.00
_cell_angle_beta 90.00
_cell_angle_gamma 90.00
loop_
_space_group_symop_operation_xyz
'x,y,z'
loop_
_atom_site_label
_atom_site_type_symbol
_atom_site_fract_x
_atom_site_fract_y
_atom_site_fract_z
_atom_site_occupancy
Nd1 Nd 0.0000 0.0000 0.0000 1
Nd2 Nd 0.0000 0.0000 0.3467 1
Nd3 Nd 0.0000 0.0000 0.6533 1
Dy1 Dy 0.5000 0.5000 0.1740 1
Dy2 Dy 0.5000 0.5000 0.8260 1
Mg1 Mg 0.5000 0.5000 0.5000 1
```

Computed properties:
DFT total energy = -0.1544 hartree per atom
mass density = 6.74 g/cm³
excess energy over the best structure of this formula in the dataset = 0.0 kJ per mole of atoms
SG = P4/mmm (123)
crystal system = tetragonal
magnetic moment = 0.00 Bohr magnetons per cell


10.
PmTh2ScSb5: optimized geometry, PBE.

```
data_PmTh2ScSb5
_space_group_name_H-M_alt 'P 1'
_space_group_IT_number 1
_cell_length_a 5.0059
_cell_length_b 5.0059
_cell_length_c 11.6682
_cell_angle_alpha 90.00
_cell_angle_beta 90.00
_cell_angle_gamma 90.00
loop_
_space_group_symop_operation_xyz
'x,y,z'
loop_
_atom_site_label
_atom_site_type_symbol
_atom_site_fract_x
_atom_site_fract_y
_atom_site_fract_z
_atom_site_occupancy
Pm1 Pm 0.0000 0.0000 0.0000 1
Th1 Th 0.5000 0.5000 0.2868 1
Th2 Th 0.5000 0.5000 0.7132 1
Sc1 Sc 0.0000 0.0000 0.5000 1
Sb1 Sb 0.0000 0.0000 0.2528 1
Sb2 Sb 0.0000 0.0000 0.7472 1
Sb3 Sb 0.0000 0.5000 0.5000 1
Sb4 Sb 0.5000 0.0000 0.5000 1
Sb5 Sb 0.5000 0.5000 0.0000 1
```

Computed properties:
formation energy (no corrections) = -0.41 eV per atom
DFT total energy = -0.2052 hartree per atom
mass density = 7.17 g/cm³
SG = P4/mmm (123)
crystal system = tetragonal
magnetic moment = 0.00 Bohr magnetons per cell


11.
La2MgOs2: optimized geometry, PBE.

```
data_La2MgOs2
_space_group_name_H-M_alt 'P 1'
_space_group_IT_number 1
_cell_length_a 5.8957
_cell_length_b 5.8957
_cell_length_c 8.4691
_cell_angle_alpha 104.90
_cell_angle_beta 104.90
_cell_angle_gamma 57.65
loop_
_space_group_symop_operation_xyz
'x,y,z'
loop_
_atom_site_label
_atom_site_type_symbol
_atom_site_fract_x
_atom_site_fract_y
_atom_site_fract_z
_atom_site_occupancy
La1 La 0.0015 0.7045 0.8560 1
La2 La 0.2955 0.9985 0.6440 1
La3 La 0.7045 0.0015 0.3560 1
La4 La 0.9985 0.2955 0.1440 1
Mg1 Mg 0.3856 0.6144 0.2500 1
Mg2 Mg 0.6144 0.3856 0.7500 1
Os1 Os 0.1925 0.5151 0.4800 1
Os2 Os 0.4849 0.8075 0.0200 1
Os3 Os 0.5151 0.1925 0.9800 1
Os4 Os 0.8075 0.4849 0.5200 1
```

Computed properties:
DFT total energy = -0.2513 hartree per atom
mass density = 9.54 g/cm³
excess energy over the best structure of this formula in the dataset = 0.3 kJ per mole of atoms
SG = C2/c (15)
crystal system = monoclinic
magnetic moment = 0.00 Bohr magnetons per cell


12.
TaTcNi2: optimized geometry, PBE.

```
data_TaTcNi2
_space_group_name_H-M_alt 'P 1'
_space_group_IT_number 1
_cell_length_a 2.7025
_cell_length_b 3.7528
_cell_length_c 5.3262
_cell_angle_alpha 90.00
_cell_angle_beta 90.10
_cell_angle_gamma 90.00
loop_
_space_group_symop_operation_xyz
'x,y,z'
loop_
_atom_site_label
_atom_site_type_symbol
_atom_site_fract_x
_atom_site_fract_y
_atom_site_fract_z
_atom_site_occupancy
Ta1 Ta 0.0000 0.0000 0.0000 1
Tc1 Tc 0.0000 0.0000 0.5000 1
Ni1 Ni 0.4995 0.5000 0.2608 1
Ni2 Ni 0.5005 0.5000 0.7392 1
```

Computed properties:
DFT total energy = -0.3148 hartree per atom
mass density = 12.18 g/cm³
excess energy over the best structure of this formula in the dataset = 9.1 kJ per mole of atoms
SG = P2/m (10)
crystal system = monoclinic
magnetic moment = 0.00 Bohr magnetons per cell